First-principles (PBE-GGA) data for crystalline Mg2SiSn at its relaxed geometry, as listed in Alexandria.

The structure in CIF format:
```
data_Mg2SiSn
_space_group_name_H-M_alt 'R -3 m'
_space_group_IT_number 166
_space_group_name_Hall '-R 3 2"'
_cell_length_a 3.3678
_cell_length_b 3.3678
_cell_length_c 26.2786
_cell_angle_alpha 90.00
_cell_angle_beta 90.00
_cell_angle_gamma 120.00
loop_
_atom_site_label
_atom_site_type_symbol
_atom_site_fract_x
_atom_site_fract_y
_atom_site_fract_z
Mg1 Mg 0.0000 0.0000 0.2433
Si1 Si 0.0000 0.0000 0.5000
Sn1 Sn 0.0000 0.0000 0.0000
```

## Properties
crystal system = trigonal
energy relative to the lowest polymorph listed for this composition = 17 meV/atom
VASP energy = -0.2297 Ry/atom
formation energy from raw total energies = 28 meV/atom